No. 1
Computed, not measured: Ru4C5 after structural relaxation at the GGA-PBE level of DFT.

```
Ru4C5
1.0
-4.3317 4.3317 1.3220
4.3317 -4.3317 1.3220
4.3317 4.3317 -1.3220
Ru C
4 5
Direct
0.7751 0.0000 0.7751
0.2249 0.0000 0.2249
0.0000 0.2249 0.2249
0.0000 0.7751 0.7751
0.0000 0.0000 0.0000
0.7182 0.2818 0.0000
0.2818 0.7182 0.0000
0.2818 0.2818 0.5636
0.7182 0.7182 0.4364
```

Summary:
energy of formation from the pure elements	1.2692	eV per atom
space-group type	No. 139

=====

No. 2
Computed, not measured: Tb2Tm8Sn after structural relaxation at the GGA-PBE level of DFT.

```
Tb2Tm8Sn
1.0
-2.2708 -4.9347 0.5432
4.8671 -2.5827 -3.1157
6.4126 0.9008 7.5594
Tb Tm Sn
2 8 1
Direct
0.7562 0.3344 0.5124
0.2438 0.6656 0.4876
0.4216 0.5978 0.8432
0.6615 0.8758 0.3230
0.8466 0.8052 0.6933
0.9556 0.2672 0.9111
0.1534 0.1948 0.3067
0.3385 0.1242 0.6770
0.5784 0.4022 0.1568
0.0444 0.7328 0.0889
0.5000 0.0000 0.0000
```

Summary:
energy of formation from the pure elements	-0.1016	eV per atom
space-group type	No. 12

=====

No. 3
Computed, not measured: PaAgGe2 after structural relaxation at the GGA-PBE level of DFT.

```
PaAgGe2
1.0
-0.4948 4.4515 0.2433
-4.0554 1.8387 -0.5407
-2.2942 1.7550 4.5706
Ge Pa Ag
2 1 1
Direct
0.7389 0.7389 0.7833
0.2611 0.2611 0.2167
0.5000 0.5000 0.5000
0.0000 0.0000 0.0000
```

Summary:
energy of formation from the pure elements	-0.1160	eV per atom
space-group type	No. 166

=====

No. 4
Computed, not measured: Ac2Be3Si4Pt after structural relaxation at the GGA-PBE level of DFT.

```
Ac2Be3Si4Pt
1.0
4.1957 0.0000 0.0000
0.0000 4.1957 0.0000
0.0000 0.0000 10.0519
Ac Be Si Pt
2 3 4 1
Direct
0.5000 0.0000 0.2462
0.0000 0.5000 0.7538
0.0000 0.0000 0.5000
0.5000 0.0000 0.8774
0.0000 0.5000 0.1226
0.5000 0.5000 0.0000
0.0000 0.0000 0.0000
0.5000 0.0000 0.6296
0.0000 0.5000 0.3704
0.5000 0.5000 0.5000
```

Summary:
space-group type	No. 115

=====

No. 5
Computed, not measured: TmScCuSi after structural relaxation at the GGA-PBE level of DFT.

```
TmScCuSi
1.0
-0.3221 -0.2442 -4.7223
0.0657 -4.2157 -2.1649
-3.9404 -1.6871 -2.0224
Sc Si Tm Cu
1 1 1 1
Direct
0.0000 0.0000 0.0000
0.7500 0.7500 0.7500
0.5000 0.5000 0.5000
0.2500 0.2500 0.2500
```

Summary:
space-group type	No. 216

=====

No. 6
Computed, not measured: CeNdGdMg after structural relaxation at the GGA-PBE level of DFT.

```
CeNdGdMg
1.0
5.5592 0.0000 0.0000
2.7796 4.8144 0.0000
2.7796 1.6048 4.5391
Mg Gd Nd Ce
1 1 1 1
Direct
0.0000 0.0000 0.0000
0.7500 0.7500 0.7500
0.2500 0.2500 0.2500
0.5000 0.5000 0.5000
```

Summary:
energy of formation from the pure elements	0.1341	eV per atom
space-group type	No. 216

=====

Taking the records one at a time from the top gives electronic total energy values of -71.8, -50.2, -22.0, -51.7, -22.1, -25.8 eV/cell.